# Li2ZrF8

A relaxed structure of Li2ZrF8 (PBE-GGA, the Alexandria database).

Calculated values
**Electronic total energy**: -112.53 eV/cell
**Magnetic moment**: 0.18 μB per atom
**Raw formation energy**: -2629 meV/atom

Cell lengths 5.292, 5.292, 10.513 Å; angles 90.00, 90.00, 90.00 degrees
Space group I422 (No. 97)
Asymmetric unit:
Li: 0.000 0.500 0.250 [4 per cell]
Zr: 0.000 0.000 0.000 [2 per cell]
F: 0.137 0.298 0.884 [16 per cell]